# 1
4
Lattice="3.1861 0.0000 0.0000 0.0000 3.1861 0.0000 0.0000 0.0000 6.1011" Properties=species:S:1:pos:R:3 comment="MgNiMo2, optimized geometry, DFT PBE-GGA" n_ef_per_ev_cell=2.3 crystal_system=tetragonal ef_ev_per_atom=0.173 e_tot_ev_per_atom=-7.09 sg="P4mm, No. 99" magnetic_moment_mub_per_cell=0.0 pbc="T T T"
Mg 0.0000 0.0000 0.0000
Ni 1.5931 1.5931 4.6478
Mo 0.0000 0.0000 3.1308
Mo 1.5931 1.5931 1.8098

---

# 2
4
Lattice="1.7509 -2.0255 0.0000 1.7509 2.0255 0.0000 0.0000 0.0000 8.5480" Properties=species:S:1:pos:R:3 comment="MgNiMo2, optimized geometry, DFT PBE-GGA" n_ef_per_ev_cell=3.3 crystal_system=orthorhombic ef_ev_per_atom=0.210 e_tot_ev_per_atom=-7.05 sg="Cmmm, No. 65" magnetic_moment_mub_per_cell=0.0 pbc="T T T"
Mg 0.0000 0.0000 0.0000
Ni 0.0000 0.0000 4.2740
Mo 1.7509 0.0000 2.3561
Mo 1.7509 0.0000 6.1919

---

# 3
8
Lattice="-3.3542 3.3542 2.6833 3.3542 -3.3542 2.6833 3.3542 3.3542 -2.6833" Properties=species:S:1:pos:R:3 comment="MgNi2Mo, optimized geometry, DFT PBE-GGA" n_ef_per_ev_cell=14.2 crystal_system=tetragonal ef_ev_per_atom=0.569 e_tot_ev_per_atom=-5.43 sg="I-42d, No. 122" magnetic_moment_mub_per_cell=0.0 pbc="T T T"
Mg 0.0000 0.0000 0.0000
Mg 0.0000 3.3542 1.3417
Ni 1.6771 -1.5538 2.0125
Ni 1.8005 1.6771 0.6708
Ni 1.6771 4.9080 -0.6708
Ni 1.5538 1.6771 3.3542
Mo 3.3542 0.0000 1.3417
Mo 0.0000 0.0000 2.6833

---

# 4
4
Lattice="1.3878 0.8013 9.2158 -1.3878 0.8013 9.2158 0.0000 -1.6025 9.2158" Properties=species:S:1:pos:R:3 comment="MgNiMo2, optimized geometry, DFT PBE-GGA" n_ef_per_ev_cell=5.8 crystal_system=trigonal ef_ev_per_atom=0.280 e_tot_ev_per_atom=-6.98 sg="R3m, No. 160" magnetic_moment_mub_per_cell=0.0 pbc="T T T"
Mg 0.0000 0.0000 0.0000
Ni 0.0000 0.0000 20.5982
Mo 0.0000 0.0000 6.6740
Mo 0.0000 0.0000 13.4573

---

# 5
4
Lattice="4.1866 -1.3219 0.0000 4.1866 1.3219 0.0000 -0.5700 0.0000 5.1569" Properties=species:S:1:pos:R:3 comment="MgNi2Mo, optimized geometry, DFT PBE-GGA" n_ef_per_ev_cell=3.6 crystal_system=monoclinic ef_ev_per_atom=0.166 e_tot_ev_per_atom=-5.83 sg="C2/m, No. 12" magnetic_moment_mub_per_cell=0.0 pbc="T T T"
Mg 0.0000 0.0000 0.0000
Ni 1.6829 0.0000 3.6924
Ni 6.1204 0.0000 1.4645
Mo 3.9016 0.0000 2.5785

---

# 6
5
Lattice="4.2365 0.0000 0.0000 0.0000 4.2365 0.0000 0.0000 0.0000 4.2365" Properties=species:S:1:pos:R:3 comment="MgNi3Mo, optimized geometry, DFT PBE-GGA" n_ef_per_ev_cell=2.1 crystal_system=cubic ef_ev_per_atom=1.302 e_tot_ev_per_atom=-4.65 sg="Pm-3m, No. 221" magnetic_moment_mub_per_cell=4.0 pbc="T T T"
Mg 0.0000 0.0000 0.0000
Ni 0.0000 0.0000 2.1183
Ni 0.0000 2.1183 0.0000
Ni 2.1183 0.0000 0.0000
Mo 2.1183 2.1183 2.1183

---

# 7
4
Lattice="4.5570 -1.3245 0.0000 4.5570 1.3245 0.0000 -0.6557 0.0000 5.0194" Properties=species:S:1:pos:R:3 comment="MgNiMo2, optimized geometry, DFT PBE-GGA" n_ef_per_ev_cell=3.0 crystal_system=monoclinic ef_ev_per_atom=0.247 e_tot_ev_per_atom=-7.01 sg="Cm, No. 8" magnetic_moment_mub_per_cell=0.0 pbc="T T T"
Mg 0.0000 0.0000 0.0000
Ni 6.6699 0.0000 1.0282
Mo 1.6808 0.0000 3.6035
Mo 3.9541 0.0000 2.4350

---

# 8
4
Lattice="3.3163 0.0000 0.0000 0.0000 3.3163 0.0000 0.0000 0.0000 5.6648" Properties=species:S:1:pos:R:3 comment="MgNiMo2, optimized geometry, DFT PBE-GGA" n_ef_per_ev_cell=3.8 crystal_system=tetragonal ef_ev_per_atom=0.343 e_tot_ev_per_atom=-6.92 sg="P4/mmm, No. 123" magnetic_moment_mub_per_cell=0.0 pbc="T T T"
Mg 0.0000 0.0000 0.0000
Ni 0.0000 0.0000 2.8324
Mo 1.6581 1.6581 1.6662
Mo 1.6581 1.6581 3.9986

---

# 9
4
Lattice="-1.6121 2.0552 4.5218 1.6121 -2.0552 4.5218 1.6121 2.0552 -4.5218" Properties=species:S:1:pos:R:3 comment="MgNiMo2, optimized geometry, DFT PBE-GGA" n_ef_per_ev_cell=3.5 crystal_system=orthorhombic ef_ev_per_atom=0.141 e_tot_ev_per_atom=-7.12 sg="Immm, No. 71" magnetic_moment_mub_per_cell=0.0 pbc="T T T"
Mg 0.0000 0.0000 0.0000
Ni 0.0000 0.0000 4.5218
Mo 1.6121 0.0000 2.3345
Mo 0.0000 2.0552 2.1873

---

# 10
4
Lattice="-1.6068 2.2849 4.1575 1.6068 -2.2849 4.1575 1.6068 2.2849 -4.1575" Properties=species:S:1:pos:R:3 comment="MgNiMo2, optimized geometry, DFT PBE-GGA" n_ef_per_ev_cell=4.0 crystal_system=orthorhombic ef_ev_per_atom=0.249 e_tot_ev_per_atom=-7.01 sg="Imm2, No. 44" magnetic_moment_mub_per_cell=0.0 pbc="T T T"
Mg 0.0000 0.0000 0.0000
Ni 0.0000 2.2849 2.1058
Mo 1.6068 0.0000 2.3382
Mo 0.0000 0.0000 4.2566

---

# 11
4
Lattice="2.8368 0.0000 0.0000 0.0000 4.2534 0.0000 0.0000 0.0000 4.5738" Properties=species:S:1:pos:R:3 comment="MgNi2Mo, optimized geometry, DFT PBE-GGA" n_ef_per_ev_cell=4.7 crystal_system=orthorhombic ef_ev_per_atom=0.336 e_tot_ev_per_atom=-5.66 sg="Pmmm, No. 47" magnetic_moment_mub_per_cell=0.0 pbc="T T T"
Mg 0.0000 0.0000 0.0000
Ni 0.0000 2.1267 2.2869
Ni 1.4184 2.1267 0.0000
Mo 1.4184 0.0000 2.2869

---

# 12
4
Lattice="2.5739 -4.5359 0.0000 2.5739 4.5359 0.0000 -0.6350 0.0000 2.5737" Properties=species:S:1:pos:R:3 comment="MgNiMo2, optimized geometry, DFT PBE-GGA" n_ef_per_ev_cell=4.4 crystal_system=monoclinic ef_ev_per_atom=0.241 e_tot_ev_per_atom=-7.02 sg="C2/m, No. 12" magnetic_moment_mub_per_cell=0.0 pbc="T T T"
Mg 0.0000 0.0000 0.0000
Ni 2.5739 0.0000 0.0000
Mo 0.9694 2.2680 1.2868
Mo 0.9694 -2.2680 1.2868

---

Which formula does entry 12 have?
MgNiMo2

---

What is the formula in the tenth record?
MgNiMo2